{"formula": "Ce3Dy2ThSe6", "functional": "PBE-GGA", "state": "optimized geometry", "cell": [[3.599, -6.238, 0.000], [3.599, 6.238, 0.000], [-2.406, 0.000, 6.804]], "species": ["Ce", "Ce", "Ce", "Dy", "Dy", "Th", "Se", "Se", "Se", "Se", "Se", "Se"], "frac_coords": [[0.000, 0.000, 0.000], [0.337, 0.663, 0.000], [0.663, 0.337, 0.000], [0.167, 0.833, 0.500], [0.833, 0.167, 0.500], [0.500, 0.500, 0.500], [0.077, 0.419, 0.256], [0.238, 0.238, 0.740], [0.419, 0.077, 0.256], [0.581, 0.923, 0.744], [0.762, 0.762, 0.260], [0.923, 0.581, 0.744]], "raw_formation_energy_ev_per_atom": -1.755, "e_tot_ev_per_cell": -76.4, "n_ef_per_ev_fu": 19.4}


{"formula": "Y3Ho4Zr", "functional": "PBE-GGA", "state": "optimized geometry", "cell": [[11.353, -1.694, 0.000], [11.353, 1.694, 0.000], [-1.963, 0.000, 6.383]], "species": ["Y", "Y", "Y", "Ho", "Ho", "Ho", "Ho", "Zr"], "frac_coords": [[0.000, 0.000, 0.000], [0.121, 0.121, 0.385], [0.879, 0.879, 0.615], [0.120, 0.120, 0.855], [0.259, 0.259, 0.256], [0.741, 0.741, 0.744], [0.880, 0.880, 0.145], [0.500, 0.500, 0.500]], "polymorph_energy_ev_per_atom": 0.0000, "e_tot_ev_per_cell": -44.6, "n_ef_per_ev_fu": 13.7}